Density functional theory data (PBE) for an optimized crystal structure of K2TcAgSe.

POSCAR file:
```
K2TcAgSe
1.0
6.454 0.000 0.000
0.000 6.454 0.000
0.000 0.000 4.849
K Tc Ag Se
2 1 1 1
direct
0.000 0.500 0.000 K
0.500 0.000 0.000 K
0.000 0.000 0.500 Tc
0.500 0.500 0.000 Ag
0.500 0.500 0.500 Se
```

Summary:
theoretical density = 3.0 g/cm3
energy relative to the elements, uncorrected = 0.83 eV/atom
space group = P4/mmm, No. 123

=====

Density functional theory data (PBE) for an optimized crystal structure of KTcAgSe2.

POSCAR file:
```
KTcAgSe2
1.0
5.244 0.000 0.000
0.000 5.244 0.000
0.000 0.000 5.235
K Tc Ag Se
1 1 1 2
direct
0.000 0.000 0.000 K
0.500 0.500 0.000 Tc
0.000 0.000 0.500 Ag
0.000 0.500 0.500 Se
0.500 0.000 0.500 Se
```

Summary:
theoretical density = 4.6 g/cm3
energy relative to the elements, uncorrected = 0.92 eV/atom
space group = P4/mmm, No. 123

=====

Density functional theory data (PBE) for an optimized crystal structure of KAg2TeSe4.

POSCAR file:
```
KAg2TeSe4
1.0
5.843 -5.548 0.000
5.843 5.548 0.000
-5.406 0.000 6.732
K Ag Te Se
2 4 2 8
direct
0.000 0.500 0.000 K
0.500 0.000 0.500 K
0.000 0.000 0.000 Ag
0.000 0.000 0.500 Ag
0.000 0.500 0.500 Ag
0.500 0.000 0.000 Ag
0.500 0.500 0.000 Te
0.500 0.500 0.500 Te
0.187 0.240 0.377 Se
0.220 0.727 0.508 Se
0.240 0.187 0.877 Se
0.273 0.780 0.992 Se
0.727 0.220 0.008 Se
0.760 0.813 0.123 Se
0.780 0.273 0.492 Se
0.813 0.760 0.623 Se
```

Summary:
theoretical density = 5.3 g/cm3
energy relative to the elements, uncorrected = -0.18 eV/atom
space group = C2/c, No. 15

=====

Density functional theory data (PBE) for an optimized crystal structure of K2AgTeSe4.

POSCAR file:
```
K2AgTeSe4
1.0
0.000 8.230 12.484
2.704 0.000 12.484
2.704 8.230 0.000
K Ag Te Se
4 2 2 8
direct
0.046 0.046 0.704 K
0.296 0.296 0.954 K
0.704 0.704 0.046 K
0.954 0.954 0.296 K
0.125 0.125 0.125 Ag
0.875 0.875 0.875 Ag
0.375 0.375 0.375 Te
0.625 0.625 0.625 Te
0.003 0.402 0.462 Se
0.368 0.538 0.598 Se
0.402 0.003 0.632 Se
0.462 0.632 0.003 Se
0.538 0.368 0.997 Se
0.598 0.997 0.368 Se
0.632 0.462 0.402 Se
0.997 0.598 0.538 Se
```

Summary:
theoretical density = 3.8 g/cm3
energy relative to the elements, uncorrected = -0.40 eV/atom
space group = Fddd, No. 70

=====

Density functional theory data (PBE) for an optimized crystal structure of K2Ag2TeSe4.

POSCAR file:
```
K2Ag2TeSe4
1.0
7.979 -2.136 0.000
7.979 2.136 0.000
-2.888 0.000 7.326
K Ag Te Se
2 2 1 4
direct
0.140 0.140 0.072 K
0.860 0.860 0.928 K
0.313 0.313 0.518 Ag
0.687 0.687 0.482 Ag
0.000 0.000 0.500 Te
0.191 0.191 0.699 Se
0.489 0.489 0.739 Se
0.511 0.511 0.261 Se
0.809 0.809 0.301 Se
```

Summary:
theoretical density = 4.9 g/cm3
energy relative to the elements, uncorrected = -0.47 eV/atom
space group = C2/m, No. 12

=====

Density functional theory data (PBE) for an optimized crystal structure of K2ThAgSe4.

POSCAR file:
```
K2ThAgSe4
1.0
-4.303 4.322 6.585
4.303 -4.322 6.585
4.303 4.322 -6.585
K Th Ag Se
4 2 2 8
direct
0.000 0.000 0.000 K
0.500 0.000 0.000 K
0.500 0.000 0.500 K
0.500 0.500 0.500 K
0.000 0.500 0.500 Th
0.500 0.500 0.000 Th
0.000 0.000 0.500 Ag
0.000 0.500 0.000 Ag
0.176 0.728 0.448 Se
0.220 0.272 0.948 Se
0.261 0.289 0.527 Se
0.261 0.734 0.973 Se
0.739 0.266 0.027 Se
0.739 0.711 0.473 Se
0.780 0.728 0.052 Se
0.824 0.272 0.552 Se
```

Summary:
theoretical density = 5.0 g/cm3
energy relative to the elements, uncorrected = -1.11 eV/atom
space group = Imma, No. 74

=====

Density functional theory data (PBE) for an optimized crystal structure of KTh2AgSe5.

POSCAR file:
```
KTh2AgSe5
1.0
-4.110 4.110 7.728
4.110 -4.110 7.728
4.110 4.110 -7.728
K Th Ag Se
2 4 2 10
direct
0.250 0.250 0.000 K
0.750 0.750 0.000 K
0.163 0.663 0.825 Th
0.337 0.163 0.500 Th
0.663 0.837 0.500 Th
0.837 0.337 0.175 Th
0.250 0.750 0.500 Ag
0.750 0.250 0.500 Ag
0.000 0.000 0.000 Se
0.027 0.236 0.500 Se
0.236 0.736 0.209 Se
0.264 0.473 0.500 Se
0.473 0.973 0.209 Se
0.500 0.500 0.000 Se
0.527 0.027 0.791 Se
0.736 0.527 0.500 Se
0.764 0.264 0.791 Se
0.973 0.764 0.500 Se
```

Summary:
theoretical density = 6.4 g/cm3
energy relative to the elements, uncorrected = -1.39 eV/atom
space group = I4/mcm, No. 140

=====

Density functional theory data (PBE) for an optimized crystal structure of KThAg2Se4.

POSCAR file:
```
KThAg2Se4
1.0
-3.588 3.760 4.138
3.588 -3.760 4.138
3.588 3.760 -4.138
K Th Ag Se
1 1 2 4
direct
0.000 0.000 0.000 K
0.500 0.500 0.000 Th
0.312 0.812 0.500 Ag
0.688 0.188 0.500 Ag
0.080 0.078 0.555 Se
0.477 0.922 0.002 Se
0.523 0.525 0.445 Se
0.920 0.475 0.998 Se
```

Summary:
theoretical density = 6.0 g/cm3
energy relative to the elements, uncorrected = -0.79 eV/atom
space group = I222, No. 23

=====

Density functional theory data (PBE) for an optimized crystal structure of K2ThAg2Se4.

POSCAR file:
```
K2ThAg2Se4
1.0
7.817 -2.165 0.000
7.817 2.165 0.000
-2.785 0.000 7.553
K Th Ag Se
2 1 2 4
direct
0.137 0.137 0.074 K
0.863 0.863 0.926 K
0.000 0.000 0.500 Th
0.319 0.319 0.512 Ag
0.681 0.681 0.488 Ag
0.197 0.197 0.701 Se
0.489 0.489 0.743 Se
0.511 0.511 0.257 Se
0.803 0.803 0.299 Se
```

Summary:
theoretical density = 5.5 g/cm3
energy relative to the elements, uncorrected = -1.13 eV/atom
space group = C2/m, No. 12

=====

Density functional theory data (PBE) for an optimized crystal structure of KTiAgSe3.

POSCAR file:
```
KTiAgSe3
1.0
5.439 -4.285 0.000
5.439 4.285 0.000
-2.694 0.000 7.826
K Ti Ag Se
2 2 2 6
direct
0.193 0.193 0.151 K
0.807 0.807 0.849 K
0.426 0.426 0.676 Ti
0.574 0.574 0.324 Ti
0.234 0.766 0.500 Ag
0.766 0.234 0.500 Ag
0.200 0.200 0.572 Se
0.235 0.688 0.182 Se
0.312 0.765 0.818 Se
0.688 0.235 0.182 Se
0.765 0.312 0.818 Se
0.800 0.800 0.428 Se
```

Summary:
theoretical density = 3.9 g/cm3
energy relative to the elements, uncorrected = -0.69 eV/atom
space group = C2/m, No. 12

=====

Density functional theory data (PBE) for an optimized crystal structure of K2TiAgSe4.

POSCAR file:
```
K2TiAgSe4
1.0
-4.082 4.082 3.347
4.082 -4.082 3.347
4.082 4.082 -3.347
K Ti Ag Se
2 1 1 4
direct
0.000 0.500 0.500 K
0.500 0.000 0.500 K
0.000 0.000 0.000 Ti
0.500 0.500 0.000 Ag
0.052 0.386 0.000 Se
0.386 0.052 0.000 Se
0.614 0.614 0.667 Se
0.948 0.948 0.333 Se
```

Summary:
theoretical density = 4.1 g/cm3
energy relative to the elements, uncorrected = -0.86 eV/atom
space group = I-42m, No. 121

=====

Density functional theory data (PBE) for an optimized crystal structure of KTmAgSe2.

POSCAR file:
```
KTmAgSe2
1.0
7.667 0.000 0.000
0.000 4.951 0.000
-1.004 0.000 7.837
K Tm Ag Se
2 2 2 4
direct
0.000 0.106 0.250 K
0.000 0.894 0.750 K
0.500 0.496 0.750 Tm
0.500 0.504 0.250 Tm
0.500 0.000 0.000 Ag
0.500 0.000 0.500 Ag
0.252 0.394 0.970 Se
0.252 0.606 0.470 Se
0.748 0.394 0.530 Se
0.748 0.606 0.030 Se
```

Summary:
theoretical density = 5.3 g/cm3
energy relative to the elements, uncorrected = -1.04 eV/atom
space group = P2/c, No. 13

=====

Density functional theory data (PBE) for an optimized crystal structure of KTm2Ag2Se4.

POSCAR file:
```
KTm2Ag2Se4
1.0
7.496 -1.925 0.000
7.496 1.925 0.000
-3.736 0.000 7.510
K Tm Ag Se
1 2 2 4
direct
0.000 0.000 0.000 K
0.127 0.127 0.557 Tm
0.873 0.873 0.443 Tm
0.303 0.303 0.955 Ag
0.697 0.697 0.045 Ag
0.219 0.219 0.307 Se
0.470 0.470 0.291 Se
0.530 0.530 0.709 Se
0.781 0.781 0.693 Se
```

Summary:
theoretical density = 7.0 g/cm3
energy relative to the elements, uncorrected = -1.07 eV/atom
space group = C2/m, No. 12

=====

Density functional theory data (PBE) for an optimized crystal structure of K2TmAg2Se4.

POSCAR file:
```
K2TmAg2Se4
1.0
7.751 -2.062 0.000
7.751 2.062 0.000
-2.692 0.000 7.601
K Tm Ag Se
2 1 2 4
direct
0.130 0.130 0.066 K
0.870 0.870 0.934 K
0.000 0.000 0.500 Tm
0.321 0.321 0.519 Ag
0.679 0.679 0.481 Ag
0.196 0.196 0.700 Se
0.491 0.491 0.740 Se
0.509 0.509 0.260 Se
0.804 0.804 0.300 Se
```

Summary:
theoretical density = 5.3 g/cm3
energy relative to the elements, uncorrected = -1.01 eV/atom
space group = C2/m, No. 12

=====

Density functional theory data (PBE) for an optimized crystal structure of K3U3AgSe8.

POSCAR file:
```
K3U3AgSe8
1.0
4.152 2.397 7.764
-4.152 2.397 7.764
0.000 -4.794 7.764
K U Ag Se
3 3 1 8
direct
0.000 0.500 0.500 K
0.500 0.000 0.500 K
0.500 0.500 0.000 K
0.000 0.000 0.500 U
0.000 0.500 0.000 U
0.500 0.000 0.000 U
0.500 0.500 0.500 Ag
0.218 0.742 0.742 Se
0.236 0.236 0.236 Se
0.258 0.258 0.782 Se
0.258 0.782 0.258 Se
0.742 0.218 0.742 Se
0.742 0.742 0.218 Se
0.764 0.764 0.764 Se
0.782 0.258 0.258 Se
```

Summary:
theoretical density = 5.6 g/cm3
energy relative to the elements, uncorrected = -1.11 eV/atom
space group = R-3m, No. 166

=====

Density functional theory data (PBE) for an optimized crystal structure of K2UAg2Se4.

POSCAR file:
```
K2UAg2Se4
1.0
7.740 -2.128 0.000
7.740 2.128 0.000
-2.774 0.000 7.506
K U Ag Se
2 1 2 4
direct
0.136 0.136 0.074 K
0.864 0.864 0.926 K
0.000 0.000 0.500 U
0.319 0.319 0.517 Ag
0.681 0.681 0.483 Ag
0.193 0.193 0.700 Se
0.492 0.492 0.740 Se
0.508 0.508 0.260 Se
0.807 0.807 0.300 Se
```

Summary:
theoretical density = 5.7 g/cm3
energy relative to the elements, uncorrected = -0.93 eV/atom
space group = C2/m, No. 12

=====

Density functional theory data (PBE) for an optimized crystal structure of KU3Ag4Se12.

POSCAR file:
```
KU3Ag4Se12
1.0
7.578 4.375 3.261
-7.578 4.375 3.261
0.000 -8.750 3.261
K U Ag Se
1 3 4 12
direct
0.000 0.000 0.000 K
0.000 0.563 0.437 U
0.437 0.000 0.563 U
0.563 0.437 0.000 U
0.072 0.500 0.928 Ag
0.500 0.500 0.500 Ag
0.500 0.928 0.072 Ag
0.928 0.072 0.500 Ag
0.060 0.665 0.754 Se
0.102 0.898 0.500 Se
0.246 0.335 0.940 Se
0.332 0.668 0.500 Se
0.335 0.940 0.246 Se
0.500 0.102 0.898 Se
0.500 0.332 0.668 Se
0.665 0.754 0.060 Se
0.668 0.500 0.332 Se
0.754 0.060 0.665 Se
0.898 0.500 0.102 Se
0.940 0.246 0.335 Se
```

Summary:
theoretical density = 5.5 g/cm3
energy relative to the elements, uncorrected = -0.56 eV/atom
space group = R32, No. 155

=====

Density functional theory data (PBE) for an optimized crystal structure of K2U2AgSe6.

POSCAR file:
```
K2U2AgSe6
1.0
3.527 -6.303 0.000
3.527 6.303 0.000
-2.189 0.000 7.844
K U Ag Se
2 2 1 6
direct
0.158 0.842 0.000 K
0.842 0.158 0.000 K
0.336 0.664 0.500 U
0.664 0.336 0.500 U
0.000 0.000 0.500 Ag
0.059 0.418 0.701 Se
0.284 0.284 0.302 Se
0.418 0.059 0.701 Se
0.582 0.941 0.299 Se
0.716 0.716 0.698 Se
0.941 0.582 0.299 Se
```

Summary:
theoretical density = 5.4 g/cm3
energy relative to the elements, uncorrected = -1.06 eV/atom
space group = C2/m, No. 12

=====

Density functional theory data (PBE) for an optimized crystal structure of K2UAgSe5.

POSCAR file:
```
K2UAgSe5
1.0
2.088 -9.934 0.000
2.088 9.934 0.000
0.000 0.000 13.646
K U Ag Se
4 2 2 10
direct
0.115 0.885 0.500 K
0.122 0.878 0.141 K
0.878 0.122 0.641 K
0.885 0.115 0.000 K
0.203 0.797 0.830 U
0.797 0.203 0.330 U
0.430 0.570 0.240 Ag
0.570 0.430 0.740 Ag
0.069 0.931 0.856 Se
0.295 0.705 0.460 Se
0.296 0.704 0.195 Se
0.333 0.667 0.824 Se
0.500 0.500 0.087 Se
0.500 0.500 0.587 Se
0.667 0.333 0.324 Se
0.704 0.296 0.695 Se
0.705 0.295 0.960 Se
0.931 0.069 0.356 Se
```

Summary:
theoretical density = 4.8 g/cm3
energy relative to the elements, uncorrected = -0.82 eV/atom
space group = Cmc2_1, No. 36

=====

Density functional theory data (PBE) for an optimized crystal structure of K3U2AgSe6.

POSCAR file:
```
K3U2AgSe6
1.0
3.654 -6.327 0.000
3.654 6.327 0.000
-2.420 0.000 7.660
K U Ag Se
3 2 1 6
direct
0.000 0.000 0.000 K
0.341 0.659 0.000 K
0.659 0.341 0.000 K
0.167 0.833 0.500 U
0.833 0.167 0.500 U
0.500 0.500 0.500 Ag
0.081 0.431 0.293 Se
0.219 0.219 0.703 Se
0.431 0.081 0.293 Se
0.569 0.919 0.707 Se
0.781 0.781 0.297 Se
0.919 0.569 0.707 Se
```

Summary:
theoretical density = 5.5 g/cm3
energy relative to the elements, uncorrected = -1.12 eV/atom
space group = C2/m, No. 12

=====

Here are the calculated electronic total energy numbers, same order: -2.95 -3.33 -3.17 -3.17 -3.25 -4.41 -5.41 -4.31 -4.38 -4.40 -4.22 -4.11 -4.37 -3.93 -5.63 -4.61 -4.97 -5.48 -4.57 -5.25 (eV/atom).